Record 1
Computed, not measured: crystalline La2TcW at its relaxed geometry at the PBE-GGA level of DFT.

## Properties
- Density of states at the Fermi level: 5.77 states/eV/cell
- Uncorrected energy: -7.460 eV/atom
- Space group: C2/m
- Calculated formation energy: 0.834 eV per atom
- Size of the total moment: 0.000 Bohr magnetons per cell

Lattice parameters (Å, degrees): 5.2262 5.2262 5.7505 95.60 95.60 33.97
Last column: nearest neighbours and their distance in Å.
Atoms (fractional coordinates):
Tc  0.7500  0.7500  0.7500  2 La 2.63
La  0.5111  0.5111  0.5096  1 Tc 2.63, 1 W 2.87
La  0.9889  0.9889  0.9904  1 Tc 2.63, 1 W 2.87
W  0.2500  0.2500  0.2500  2 La 2.87, 2 W 3.05

---

Record 2
Computed, not measured: crystalline LaTcW2 at its relaxed geometry at the PBE-GGA level of DFT.

## Properties
- Density of states at the Fermi level: 3.59 states/eV/cell
- Uncorrected energy: -9.448 eV/atom
- Space group: P4/mmm
- Calculated formation energy: 0.852 eV per atom
- Size of the total moment: 0.000 Bohr magnetons per cell

Lattice parameters (Å, degrees): 5.1583 3.8451 3.8451 90.00 90.00 90.00
Last column: nearest neighbours and their distance in Å.
Atoms (fractional coordinates):
La  0.5000  0.5000  0.0000  4 Tc 2.72
W  0.0000  0.0000  0.0000  4 W 2.72
W  0.0000  0.5000  0.5000  4 W 2.72
Tc  0.5000  0.0000  0.5000  4 La 2.72

---

Record 3
Computed, not measured: crystalline LaTcW2 at its relaxed geometry at the PBE-GGA level of DFT.

## Properties
- Density of states at the Fermi level: 3.86 states/eV/cell
- Uncorrected energy: -9.620 eV/atom
- Space group: C2/m
- Calculated formation energy: 0.680 eV per atom
- Size of the total moment: 0.000 Bohr magnetons per cell

Lattice parameters (Å, degrees): 5.6056 5.6056 2.8480 81.22 81.22 120.53
Last column: nearest neighbours and their distance in Å.
Atoms (fractional coordinates):
W  0.0000  0.0000  0.0000  4 W 2.78-2.85, 2 Tc 2.94, 2 La 2.94
W  0.5000  0.5000  0.0000  4 W 2.78-2.85, 2 La 2.94, 2 Tc 2.94
Tc  0.0000  0.5000  0.5000  2 La 2.78, 2 Tc 2.85, 4 W 2.94
La  0.5000  0.0000  0.5000  2 Tc 2.78, 2 La 2.85, 4 W 2.94

---

Record 4
Computed, not measured: crystalline La2TcW at its relaxed geometry at the PBE-GGA level of DFT.

## Properties
- Density of states at the Fermi level: 3.33 states/eV/cell
- Uncorrected energy: -7.760 eV/atom
- Space group: R3m
- Calculated formation energy: 0.534 eV per atom
- Size of the total moment: 0.000 Bohr magnetons per cell

Lattice parameters (Å, degrees): 9.9019 9.9019 9.9019 19.23 19.23 19.23
Last column: nearest neighbours and their distance in Å.
Atoms (fractional coordinates):
La  0.0071  0.0071  0.0071  3 W 3.25, 9 La 3.31-3.47
La  0.2411  0.2411  0.2411  3 Tc 3.16, 9 La 3.31-3.47
W  0.7638  0.7638  0.7638  3 Tc 2.54
Tc  0.4880  0.4880  0.4880  3 W 2.54

---

Record 5
Computed, not measured: crystalline LaTc2W at its relaxed geometry at the PBE-GGA level of DFT.

## Properties
- Density of states at the Fermi level: 4.38 states/eV/cell
- Uncorrected energy: -9.155 eV/atom
- Space group: P4/mmm
- Calculated formation energy: 0.498 eV per atom
- Size of the total moment: 0.000 Bohr magnetons per cell

Lattice parameters (Å, degrees): 3.2459 4.7521 4.7521 90.00 90.00 90.00
Last column: nearest neighbours and their distance in Å.
Atoms (fractional coordinates):
W  0.5000  0.5000  0.0000  8 Tc 2.88
La  0.5000  0.0000  0.5000  8 Tc 2.88
Tc  0.0000  0.5000  0.5000  4 La 2.88, 4 W 2.88
Tc  0.0000  0.0000  0.0000  4 La 2.88, 4 W 2.88

---

Record 6
Computed, not measured: crystalline La2TcW at its relaxed geometry at the PBE-GGA level of DFT.

## Properties
- Density of states at the Fermi level: 3.48 states/eV/cell
- Uncorrected energy: -8.123 eV/atom
- Space group: P4mm
- Calculated formation energy: 0.171 eV per atom
- Size of the total moment: 0.000 Bohr magnetons per cell

Lattice parameters (Å, degrees): 3.2458 3.2458 9.2772 90.00 90.00 90.00
Last column: nearest neighbours and their distance in Å.
Atoms (fractional coordinates):
W  0.5000  0.5000  0.6926  4 Tc 2.64
La  0.5000  0.5000  0.3175  4 Tc 3.16, 4 La 3.25, 1 W 3.48
La  0.0000  0.0000  0.9378  4 W 3.23, 4 La 3.25, 1 Tc 3.58
Tc  0.0000  0.0000  0.5522  4 W 2.64

---

Record 7
Computed, not measured: crystalline LaTcW4 at its relaxed geometry at the PBE-GGA level of DFT.

## Properties
- Density of states at the Fermi level: 6.19 states/eV/cell
- Uncorrected energy: -10.595 eV/atom
- Space group: F-43m
- Calculated formation energy: 0.589 eV per atom
- Size of the total moment: 0.000 Bohr magnetons per cell

Lattice parameters (Å, degrees): 5.4421 5.4421 5.4421 60.00 60.00 60.00
Last column: nearest neighbours and their distance in Å.
Atoms (fractional coordinates):
La  0.7500  0.7500  0.7500  12 W 3.19, 4 Tc 3.33
W  0.3749  0.3749  0.8754  6 W 2.72
W  0.3749  0.8754  0.3749  6 W 2.72
W  0.3749  0.3749  0.3749  6 W 2.72
W  0.8754  0.3749  0.3749  6 W 2.72
Tc  0.0000  0.0000  0.0000  12 W 3.19, 4 La 3.33

---

Record 8
Computed, not measured: crystalline LaTc2W at its relaxed geometry at the PBE-GGA level of DFT.

## Properties
- Density of states at the Fermi level: 4.49 states/eV/cell
- Uncorrected energy: -9.173 eV/atom
- Space group: Pm
- Calculated formation energy: 0.480 eV per atom
- Size of the total moment: 0.000 Bohr magnetons per cell

Lattice parameters (Å, degrees): 4.1765 2.9190 6.5195 79.81 90.00 90.00
Last column: nearest neighbours and their distance in Å.
Atoms (fractional coordinates):
Tc  0.5000  0.2686  0.2472  2 W 2.57, 2 Tc 2.64
Tc  0.0000  0.9564  0.0649  1 W 2.47, 2 Tc 2.64
La  0.5000  0.7529  0.7615  2 La 2.92, 3 Tc 3.01-3.23, 2 W 3.18
W  0.0000  0.5221  0.4265  3 Tc 2.47-2.57

---

Record 9
Computed, not measured: crystalline LaTcW2 at its relaxed geometry at the PBE-GGA level of DFT.

## Properties
- Density of states at the Fermi level: 8.47 states/eV/cell
- Uncorrected energy: -9.321 eV/atom
- Space group: I-42d
- Calculated formation energy: 0.979 eV per atom
- Size of the total moment: 0.000 Bohr magnetons per cell

Lattice parameters (Å, degrees): 7.7804 7.7804 6.1680 50.90 50.90 90.00
Last column: nearest neighbours and their distance in Å.
Atoms (fractional coordinates):
Tc  0.5000  0.5000  0.0000  4 W 2.57, 2 La 2.79
Tc  0.2500  0.7500  0.5000  4 W 2.57, 2 La 2.79
W  0.1790  0.6250  0.2500  2 Tc 2.57
W  0.3750  0.4290  0.7500  2 Tc 2.57
W  0.5710  0.1250  0.2500  2 Tc 2.57
W  0.8750  0.8210  0.7500  2 Tc 2.57
La  0.7500  0.2500  0.5000  2 Tc 2.79
La  0.0000  0.0000  0.0000  2 Tc 2.79

---

Record 10
Computed, not measured: crystalline LaTc2W at its relaxed geometry at the PBE-GGA level of DFT.

## Properties
- Density of states at the Fermi level: 3.83 states/eV/cell
- Uncorrected energy: -9.153 eV/atom
- Space group: R-3m
- Calculated formation energy: 0.500 eV per atom
- Size of the total moment: 0.000 Bohr magnetons per cell

Lattice parameters (Å, degrees): 9.2438 9.2438 9.2438 19.27 19.27 19.27
Last column: nearest neighbours and their distance in Å.
Atoms (fractional coordinates):
W  0.2500  0.2500  0.2500  6 Tc 2.61
Tc  0.9868  0.9868  0.9868  3 W 2.61
Tc  0.5132  0.5132  0.5132  3 W 2.61
La  0.7500  0.7500  0.7500  6 La 3.09, 6 Tc 3.18

---

Record 11
Computed, not measured: crystalline La2TcW at its relaxed geometry at the PBE-GGA level of DFT.

## Properties
- Density of states at the Fermi level: 3.43 states/eV/cell
- Uncorrected energy: -7.804 eV/atom
- Space group: Cmm2
- Calculated formation energy: 0.489 eV per atom
- Size of the total moment: 0.000 Bohr magnetons per cell

Lattice parameters (Å, degrees): 3.0850 3.0850 10.6168 90.00 90.00 113.38
Last column: nearest neighbours and their distance in Å.
Atoms (fractional coordinates):
La  0.0000  0.0000  0.9536  6 La 3.08-3.39, 2 W 3.10
La  0.5000  0.5000  0.3038  2 Tc 2.97, 4 La 3.08
W  0.5000  0.5000  0.7088  2 Tc 2.52
Tc  0.0000  0.0000  0.5338  2 W 2.52

---

Record 12
Computed, not measured: crystalline La2TcW at its relaxed geometry at the PBE-GGA level of DFT.

## Properties
- Density of states at the Fermi level: 5.97 states/eV/cell
- Uncorrected energy: -7.563 eV/atom
- Space group: Pmmm
- Calculated formation energy: 0.731 eV per atom
- Size of the total moment: 0.000 Bohr magnetons per cell

Lattice parameters (Å, degrees): 3.4097 5.2402 4.8283 90.00 90.00 90.00
Last column: nearest neighbours and their distance in Å.
Atoms (fractional coordinates):
Tc  0.5000  0.0000  0.5000  4 La 2.96, 4 W 3.13
W  0.0000  0.5000  0.5000  4 La 2.96, 4 Tc 3.13
La  0.0000  0.0000  0.0000  4 Tc 2.96, 4 La 3.13
La  0.5000  0.5000  0.0000  4 W 2.96, 4 La 3.13